Run one
! TaTi2CrH GGA-PBE relaxed; values from VASP
! * SG: P4/mmm, No. 123
! * DOS at the Fermi energy: 7.0 states/eV per cell
&SYSTEM
  ibrav = 0, nat = 5, ntyp = 4
/
ATOMIC_SPECIES
Cr 52.00 Cr.upf
Ta 180.95 Ta.upf
H 1.01 H.upf
Ti 47.87 Ti.upf
CELL_PARAMETERS angstrom
-0.803 2.828 2.414
-3.615 -0.015 -1.185
-1.038 -3.031 3.206
ATOMIC_POSITIONS angstrom
Cr -0.519 -1.516 1.603
Ta -2.728 -0.109 2.218
H 0.000 0.000 0.000
Ti -0.401 1.414 1.207
Ti -1.807 -0.007 -0.592


Run two
! TaTi2CrH GGA-PBE relaxed; values from VASP
! * SG: P4/mmm, No. 123
! * DOS at the Fermi energy: 6.8 states/eV per cell
&SYSTEM
  ibrav = 0, nat = 5, ntyp = 4
/
ATOMIC_SPECIES
Ti 47.87 Ti.upf
Cr 52.00 Cr.upf
Ta 180.95 Ta.upf
H 1.01 H.upf
CELL_PARAMETERS angstrom
3.787 0.000 0.000
0.000 3.787 0.000
0.000 0.000 4.588
ATOMIC_POSITIONS angstrom
Ti 1.894 0.000 0.000
Ti 0.000 1.894 0.000
Cr 1.894 1.894 2.294
Ta 0.000 0.000 2.294
H 0.000 0.000 0.000


Name the most stable of them. run two.


Run one
! CrTcH3 GGA-PBE relaxed; values from VASP
! * SG: Pm-3m, No. 221
! * DOS at the Fermi energy: 2.0 states/eV per cell
&SYSTEM
  ibrav = 0, nat = 5, ntyp = 3
/
ATOMIC_SPECIES
H 1.01 H.upf
Tc 98.00 Tc.upf
Cr 52.00 Cr.upf
CELL_PARAMETERS angstrom
-0.476 -2.966 -1.342
3.015 0.109 -1.311
1.226 -1.420 2.702
ATOMIC_POSITIONS angstrom
H 1.508 0.055 -0.656
H -0.238 -1.483 -0.671
H 0.613 -0.710 1.351
Tc 1.883 -2.138 0.025
Cr 0.000 0.000 0.000


Run two
! CrTcH3 GGA-PBE relaxed; values from VASP
! * SG: Pm-3m, No. 221
! * DOS at the Fermi energy: 6.5 states/eV per cell
&SYSTEM
  ibrav = 0, nat = 5, ntyp = 3
/
ATOMIC_SPECIES
Cr 52.00 Cr.upf
Tc 98.00 Tc.upf
H 1.01 H.upf
CELL_PARAMETERS angstrom
3.368 0.000 0.000
0.000 3.368 0.000
0.000 0.000 3.368
ATOMIC_POSITIONS angstrom
Cr 1.684 1.684 1.684
Tc 0.000 0.000 0.000
H 0.000 1.684 0.000
H 0.000 0.000 1.684
H 1.684 0.000 0.000


Name the most stable of them. run one.


Run one
! Cr2TcH GGA-PBE relaxed; values from VASP
! * SG: P4/mmm, No. 123
! * DOS at the Fermi energy: 3.2 states/eV per cell
&SYSTEM
  ibrav = 0, nat = 4, ntyp = 3
/
ATOMIC_SPECIES
Cr 52.00 Cr.upf
Tc 98.00 Tc.upf
H 1.01 H.upf
CELL_PARAMETERS angstrom
-1.538 -1.424 -1.635
1.901 -1.851 -0.176
-2.306 -2.806 4.613
ATOMIC_POSITIONS angstrom
Cr -0.424 -0.515 0.847
Cr -1.882 -2.291 3.766
Tc -0.972 -3.041 1.401
H 0.181 -1.638 -0.906


Run two
! Cr2TcH GGA-PBE relaxed; values from VASP
! * SG: P4/nmm, No. 129
! * DOS at the Fermi energy: 4.5 states/eV per cell
&SYSTEM
  ibrav = 0, nat = 8, ntyp = 3
/
ATOMIC_SPECIES
Cr 52.00 Cr.upf
Tc 98.00 Tc.upf
H 1.01 H.upf
CELL_PARAMETERS angstrom
2.863 0.000 -0.002
0.000 2.863 0.000
0.010 0.000 9.715
ATOMIC_POSITIONS angstrom
Cr 0.725 0.964 9.009
Cr 0.717 0.964 2.067
Cr 2.148 2.396 0.703
Cr 2.155 2.395 7.646
Tc 0.723 0.963 6.005
Tc 2.150 2.394 3.708
H 2.155 2.393 5.724
H 0.718 0.961 3.989


Run three
! Cr2TcH GGA-PBE relaxed; values from VASP
! * SG: R-3m, No. 166
! * DOS at the Fermi energy: 5.4 states/eV per cell
&SYSTEM
  ibrav = 0, nat = 4, ntyp = 3
/
ATOMIC_SPECIES
Cr 52.00 Cr.upf
H 1.01 H.upf
Tc 98.00 Tc.upf
CELL_PARAMETERS angstrom
2.643 0.000 0.000
1.321 2.289 0.000
1.321 0.763 7.518
ATOMIC_POSITIONS angstrom
Cr 3.964 2.289 1.627
Cr 1.321 0.763 5.891
H 0.000 0.000 0.000
Tc 2.643 1.526 3.759


Run four
! Cr2TcH GGA-PBE relaxed; values from VASP
! * SG: Fm-3m, No. 225
! * DOS at the Fermi energy: 3.8 states/eV per cell
&SYSTEM
  ibrav = 0, nat = 4, ntyp = 3
/
ATOMIC_SPECIES
Cr 52.00 Cr.upf
Tc 98.00 Tc.upf
H 1.01 H.upf
CELL_PARAMETERS angstrom
0.000 2.865 2.865
2.865 0.000 2.865
2.865 2.865 0.000
ATOMIC_POSITIONS angstrom
Cr 4.297 4.297 4.297
Cr 1.432 1.432 1.432
Tc 2.865 2.865 2.865
H 0.000 0.000 0.000


Name the most stable of them. run two.


Run one
! Cr3TcH GGA-PBE relaxed; values from VASP
! * SG: Pm-3m, No. 221
! * DOS at the Fermi energy: 4.5 states/eV per cell
&SYSTEM
  ibrav = 0, nat = 5, ntyp = 3
/
ATOMIC_SPECIES
Cr 52.00 Cr.upf
Tc 98.00 Tc.upf
H 1.01 H.upf
CELL_PARAMETERS angstrom
-4.226 -1.856 -0.850
1.464 -1.392 -4.236
1.423 -4.079 1.832
ATOMIC_POSITIONS angstrom
Cr 0.711 -2.040 0.916
Cr 0.732 -0.696 -2.118
Cr -2.113 -0.928 -0.425
Tc 0.000 0.000 0.000
H -0.670 -3.663 -1.627


Run two
! Cr3TcH GGA-PBE relaxed; values from VASP
! * SG: Pm-3m, No. 221
! * DOS at the Fermi energy: 6.6 states/eV per cell
&SYSTEM
  ibrav = 0, nat = 5, ntyp = 3
/
ATOMIC_SPECIES
Cr 52.00 Cr.upf
H 1.01 H.upf
Tc 98.00 Tc.upf
CELL_PARAMETERS angstrom
-2.258 1.045 2.782
-2.772 -1.999 -1.500
1.070 -2.974 1.986
ATOMIC_POSITIONS angstrom
Cr -1.386 -0.999 -0.750
Cr -1.129 0.523 1.391
Cr 0.535 -1.487 0.993
H 0.000 0.000 0.000
Tc -1.980 -1.964 1.634


Name the most stable of them. run two.


Run one
! CrTc3H GGA-PBE relaxed; values from VASP
! * SG: Pm-3m, No. 221
! * DOS at the Fermi energy: 5.8 states/eV per cell
&SYSTEM
  ibrav = 0, nat = 5, ntyp = 3
/
ATOMIC_SPECIES
Tc 98.00 Tc.upf
H 1.01 H.upf
Cr 52.00 Cr.upf
CELL_PARAMETERS angstrom
3.878 0.000 0.000
0.000 3.878 0.000
0.000 0.000 3.878
ATOMIC_POSITIONS angstrom
Tc 1.939 0.000 0.000
Tc 0.000 0.000 1.939
Tc 0.000 1.939 0.000
H 0.000 0.000 0.000
Cr 1.939 1.939 1.939


Run two
! CrTc3H GGA-PBE relaxed; values from VASP
! * SG: Pm-3m, No. 221
! * DOS at the Fermi energy: 4.8 states/eV per cell
&SYSTEM
  ibrav = 0, nat = 5, ntyp = 3
/
ATOMIC_SPECIES
H 1.01 H.upf
Tc 98.00 Tc.upf
Cr 52.00 Cr.upf
CELL_PARAMETERS angstrom
-3.011 1.886 2.649
-3.243 -2.001 -2.262
0.234 -3.475 2.739
ATOMIC_POSITIONS angstrom
H -3.010 -1.795 1.563
Tc -1.622 -1.000 -1.131
Tc 0.117 -1.738 1.370
Tc -1.505 0.943 1.325
Cr 0.000 0.000 0.000


Name the most stable of them. run one.


Run one
! Zr2CrTcH GGA-PBE relaxed; values from VASP
! * SG: P4/mmm, No. 123
! * DOS at the Fermi energy: 4.4 states/eV per cell
&SYSTEM
  ibrav = 0, nat = 5, ntyp = 4
/
ATOMIC_SPECIES
Zr 91.22 Zr.upf
Tc 98.00 Tc.upf
Cr 52.00 Cr.upf
H 1.01 H.upf
CELL_PARAMETERS angstrom
4.677 0.000 0.000
0.000 4.677 0.000
0.000 0.000 3.429
ATOMIC_POSITIONS angstrom
Zr 0.000 2.339 0.000
Zr 2.339 0.000 0.000
Tc 0.000 0.000 1.715
Cr 2.339 2.339 1.715
H 0.000 0.000 0.000


Run two
! Zr2CrTcH GGA-PBE relaxed; values from VASP
! * SG: P4/mmm, No. 123
! * DOS at the Fermi energy: 4.8 states/eV per cell
&SYSTEM
  ibrav = 0, nat = 5, ntyp = 4
/
ATOMIC_SPECIES
H 1.01 H.upf
Cr 52.00 Cr.upf
Zr 91.22 Zr.upf
Tc 98.00 Tc.upf
CELL_PARAMETERS angstrom
-0.237 -0.564 4.589
0.347 -4.584 -0.545
3.363 0.230 0.202
ATOMIC_POSITIONS angstrom
H 0.000 0.000 0.000
Cr 1.682 0.115 0.101
Zr 0.173 -2.292 -0.273
Zr -0.118 -0.282 2.295
Tc 1.737 -2.459 2.123


Name the most stable of them. run two.


Run one
! Cr2TeH GGA-PBE relaxed; values from VASP
! * SG: Fm-3m, No. 225
! * DOS at the Fermi energy: 1.4 states/eV per cell
&SYSTEM
  ibrav = 0, nat = 4, ntyp = 3
/
ATOMIC_SPECIES
H 1.01 H.upf
Cr 52.00 Cr.upf
Te 127.60 Te.upf
CELL_PARAMETERS angstrom
0.000 3.042 3.042
3.042 0.000 3.042
3.042 3.042 0.000
ATOMIC_POSITIONS angstrom
H 0.000 0.000 0.000
Cr 4.563 4.563 4.563
Cr 1.521 1.521 1.521
Te 3.042 3.042 3.042


Run two
! Cr2TeH GGA-PBE relaxed; values from VASP
! * SG: I-42d, No. 122
! * DOS at the Fermi energy: 6.0 states/eV per cell
&SYSTEM
  ibrav = 0, nat = 8, ntyp = 3
/
ATOMIC_SPECIES
H 1.01 H.upf
Te 127.60 Te.upf
Cr 52.00 Cr.upf
CELL_PARAMETERS angstrom
-3.248 -1.192 -2.910
3.143 -1.103 -3.057
0.057 -5.974 -1.129
ATOMIC_POSITIONS angstrom
H -0.053 -1.148 -2.983
H 1.574 -4.112 -3.585
Te -1.622 -4.157 -3.511
Te 0.000 0.000 0.000
Cr 0.642 -5.565 -3.705
Cr -0.963 -2.134 -1.892
Cr -0.688 -6.264 -5.447
Cr 0.913 -2.574 -3.148


Name the most stable of them. run two.


Run one
! CrTeH3 GGA-PBE relaxed; values from VASP
! * SG: Pm-3m, No. 221
! * DOS at the Fermi energy: 2.1 states/eV per cell
&SYSTEM
  ibrav = 0, nat = 5, ntyp = 3
/
ATOMIC_SPECIES
Te 127.60 Te.upf
Cr 52.00 Cr.upf
H 1.01 H.upf
CELL_PARAMETERS angstrom
-1.378 -1.796 -2.869
0.099 -3.118 1.904
-3.384 0.640 1.225
ATOMIC_POSITIONS angstrom
Te -2.331 -2.137 0.130
Cr 0.000 0.000 0.000
H 0.050 -1.559 0.952
H -0.689 -0.898 -1.435
H -1.692 0.320 0.612


Run two
! CrTeH3 GGA-PBE relaxed; values from VASP
! * SG: Pm-3m, No. 221
! * DOS at the Fermi energy: 1.7 states/eV per cell
&SYSTEM
  ibrav = 0, nat = 5, ntyp = 3
/
ATOMIC_SPECIES
Cr 52.00 Cr.upf
Te 127.60 Te.upf
H 1.01 H.upf
CELL_PARAMETERS angstrom
4.121 0.000 0.000
0.000 4.121 0.000
0.000 0.000 4.121
ATOMIC_POSITIONS angstrom
Cr 2.061 2.061 2.061
Te 0.000 0.000 0.000
H 0.000 0.000 2.061
H 0.000 2.061 0.000
H 2.061 0.000 0.000


Name the most stable of them. run one.


Run one
! TiCrH2 GGA-PBE relaxed; values from VASP
! * SG: I-42d, No. 122
! * DOS at the Fermi energy: 5.6 states/eV per cell
&SYSTEM
  ibrav = 0, nat = 8, ntyp = 3
/
ATOMIC_SPECIES
Cr 52.00 Cr.upf
H 1.01 H.upf
Ti 47.87 Ti.upf
CELL_PARAMETERS angstrom
3.884 0.000 0.000
0.000 3.884 0.000
1.942 1.942 4.580
ATOMIC_POSITIONS angstrom
Cr 0.000 0.000 0.000
Cr 3.884 1.942 2.290
H 2.913 2.781 3.435
H 0.839 2.913 1.145
H 4.855 4.987 3.435
H 3.045 0.971 1.145
Ti 1.942 1.942 0.000
Ti 1.942 3.884 2.290


Run two
! TiCrH2 GGA-PBE relaxed; values from VASP
! * SG: R-3m, No. 166
! * DOS at the Fermi energy: 2.4 states/eV per cell
&SYSTEM
  ibrav = 0, nat = 4, ntyp = 3
/
ATOMIC_SPECIES
H 1.01 H.upf
Cr 52.00 Cr.upf
Ti 47.87 Ti.upf
CELL_PARAMETERS angstrom
-1.055 -2.143 1.679
0.252 -2.781 -0.852
3.476 -1.916 2.277
ATOMIC_POSITIONS angstrom
H 1.862 -5.119 2.252
H 0.811 -1.720 0.852
Cr 1.336 -3.420 1.552
Ti 0.000 0.000 0.000


Name the most stable of them. run two.


Run one
! Ti2CrH GGA-PBE relaxed; values from VASP
! * SG: Fm-3m, No. 225
! * DOS at the Fermi energy: 3.6 states/eV per cell
&SYSTEM
  ibrav = 0, nat = 4, ntyp = 3
/
ATOMIC_SPECIES
Ti 47.87 Ti.upf
H 1.01 H.upf
Cr 52.00 Cr.upf
CELL_PARAMETERS angstrom
0.726 -3.838 -1.356
-2.173 -3.174 1.516
-2.791 -1.917 -2.374
ATOMIC_POSITIONS angstrom
Ti -1.059 -2.232 -0.553
Ti -3.178 -6.697 -1.660
H 0.000 0.000 0.000
Cr -2.119 -4.464 -1.107


Run two
! Ti2CrH GGA-PBE relaxed; values from VASP
! * SG: P4/mmm, No. 123
! * DOS at the Fermi energy: 5.5 states/eV per cell
&SYSTEM
  ibrav = 0, nat = 4, ntyp = 3
/
ATOMIC_SPECIES
Ti 47.87 Ti.upf
Cr 52.00 Cr.upf
H 1.01 H.upf
CELL_PARAMETERS angstrom
-1.323 -0.900 -2.387
-1.925 -1.412 1.600
-3.524 4.917 0.100
ATOMIC_POSITIONS angstrom
Ti -0.863 1.204 0.024
Ti -2.661 3.713 0.075
Cr -3.386 1.302 -0.343
H -1.624 -1.156 -0.393


Run three
! Ti2CrH GGA-PBE relaxed; values from VASP
! * SG: I-42d, No. 122
! * DOS at the Fermi energy: 5.5 states/eV per cell
&SYSTEM
  ibrav = 0, nat = 8, ntyp = 3
/
ATOMIC_SPECIES
Ti 47.87 Ti.upf
H 1.01 H.upf
Cr 52.00 Cr.upf
CELL_PARAMETERS angstrom
5.776 0.000 0.000
0.000 5.776 0.000
2.888 2.888 3.011
ATOMIC_POSITIONS angstrom
Ti 4.332 4.826 2.258
Ti 1.938 4.332 0.753
Ti 7.220 6.725 2.258
Ti 3.837 1.444 0.753
H 2.888 2.888 0.000
H 2.888 5.776 1.506
Cr 5.776 2.888 1.506
Cr 0.000 0.000 0.000


Run four
! Ti2CrH GGA-PBE relaxed; values from VASP
! * SG: R-3m, No. 166
! * DOS at the Fermi energy: 3.4 states/eV per cell
&SYSTEM
  ibrav = 0, nat = 4, ntyp = 3
/
ATOMIC_SPECIES
H 1.01 H.upf
Ti 47.87 Ti.upf
Cr 52.00 Cr.upf
CELL_PARAMETERS angstrom
-1.564 2.341 0.981
-1.589 -0.216 2.513
3.825 2.606 4.411
ATOMIC_POSITIONS angstrom
H 0.336 2.365 3.952
Ti 0.278 3.460 5.778
Ti 0.393 1.270 2.126
Cr 0.000 0.000 0.000


Name the most stable of them. run four.


Run one
! TiCr3H GGA-PBE relaxed; values from VASP
! * SG: Pm-3m, No. 221
! * DOS at the Fermi energy: 9.8 states/eV per cell
&SYSTEM
  ibrav = 0, nat = 5, ntyp = 3
/
ATOMIC_SPECIES
Cr 52.00 Cr.upf
H 1.01 H.upf
Ti 47.87 Ti.upf
CELL_PARAMETERS angstrom
-2.853 -3.193 0.447
3.055 -2.868 -0.986
1.029 -0.336 4.166
ATOMIC_POSITIONS angstrom
Cr -1.426 -1.596 0.223
Cr 1.528 -1.434 -0.493
Cr 0.514 -0.168 2.083
H 0.616 -3.198 1.814
Ti 0.000 0.000 0.000


Run two
! TiCr3H GGA-PBE relaxed; values from VASP
! * SG: Pm-3m, No. 221
! * DOS at the Fermi energy: 7.0 states/eV per cell
&SYSTEM
  ibrav = 0, nat = 5, ntyp = 3
/
ATOMIC_SPECIES
Cr 52.00 Cr.upf
H 1.01 H.upf
Ti 47.87 Ti.upf
CELL_PARAMETERS angstrom
3.779 0.000 0.000
0.000 3.779 0.000
0.000 0.000 3.779
ATOMIC_POSITIONS angstrom
Cr 1.890 0.000 0.000
Cr 0.000 1.890 0.000
Cr 0.000 0.000 1.890
H 0.000 0.000 0.000
Ti 1.890 1.890 1.890


Name the most stable of them. run two.


Run one
! TiCrH4 GGA-PBE relaxed; values from VASP
! * SG: P4/mmm, No. 123
! * DOS at the Fermi energy: 3.1 states/eV per cell
&SYSTEM
  ibrav = 0, nat = 6, ntyp = 3
/
ATOMIC_SPECIES
Cr 52.00 Cr.upf
H 1.01 H.upf
Ti 47.87 Ti.upf
CELL_PARAMETERS angstrom
-0.080 0.953 2.839
-0.306 -2.828 0.941
4.243 -0.378 0.246
ATOMIC_POSITIONS angstrom
Cr 1.808 -3.007 1.064
H 2.933 -1.680 0.651
H 0.989 -1.507 0.538
H 2.740 -2.617 2.540
H 0.796 -2.444 2.428
Ti 4.043 -1.306 2.137


Run two
! TiCrH4 GGA-PBE relaxed; values from VASP
! * SG: C2/c, No. 15
! * DOS at the Fermi energy: 4.0 states/eV per cell
&SYSTEM
  ibrav = 0, nat = 12, ntyp = 3
/
ATOMIC_SPECIES
H 1.01 H.upf
Ti 47.87 Ti.upf
Cr 52.00 Cr.upf
CELL_PARAMETERS angstrom
5.019 -0.712 0.000
-2.058 4.913 0.000
-1.480 -2.101 3.783
ATOMIC_POSITIONS angstrom
H 2.852 -1.122 3.211
H -0.057 0.286 1.197
H -1.372 3.223 0.572
H 1.537 1.814 2.586
H 2.566 -0.642 1.197
H -1.086 2.743 2.586
H -0.343 0.766 3.211
H 1.823 1.334 0.572
Ti 0.226 2.279 0.968
Ti 1.255 -0.178 2.815
Cr 1.255 -0.178 0.164
Cr 0.226 2.279 3.619


Name the most stable of them. run one.